1.
This record from Alexandria via LeMat-Bulk describes a PBEsol-optimized structure of La2TlSb. The functional is SCAN.

a b c (Å): 4.0666 4.0666 7.1067
angles (deg): 90.00 90.00 90.00
Space group P4/mmm (No. 123)
One atom of each set of equivalent atoms:
La (0.0000, 0.0000, 0.2376)
Tl (0.5000, 0.5000, 0.5000)
Sb (0.5000, 0.5000, 0.0000)

Results
uncorrected formation energy: -0.908 eV/atom
ρ: 8533 kg/m3
crystal system: tetragonal
energy above the most stable polymorph in this dataset: 39 meV per atom

=====

2.
This record from Alexandria via LeMat-Bulk describes a PBEsol-optimized structure of LaTl2Sb. The functional is SCAN.

a b c (Å): 4.1479 4.1479 6.7157
angles (deg): 90.00 90.00 90.00
Space group P4mm (No. 99)
One atom of each set of equivalent atoms:
La (0.0000, 0.0000, 0.0000)
Tl (0.0000, 0.0000, 0.4824)
Tl (0.5000, 0.5000, 0.7074)
Sb (0.5000, 0.5000, 0.2110)

Results
uncorrected formation energy: -0.501 eV/atom
ρ: 9621 kg/m3
crystal system: tetragonal
energy above the most stable polymorph in this dataset: 81 meV per atom

=====

Q: Which value of energy above the most stable polymorph in this dataset does entry 2 give?
A: 81 meV per atom